Compound: YSi2Ru2
Source: Alexandria via LeMat-Bulk
Functional: SCAN
Structure: single point on PBEsol structure

Lattice parameters (Å, degrees): 5.688 5.688 5.688 137.67 137.67 61.41
Element x y z (fractional)
Y1 0.000 0.000 0.000
Si1 0.250 0.750 0.500
Si2 0.750 0.250 0.500
Ru1 0.377 0.377 0.000
Ru2 0.623 0.623 0.000

E_form (uncorrected), eV per atom: -0.678
V, Å³/atom: 16.5
Energy, eV per cell: -120.915
Fermi-level density of states, states/eV per atom: 0.590